## Tb3Pr3Nd5 (PBE)

Data for a relaxed Tb3Pr3Nd5 crystal.

abc: 5.4853 9.8372 9.8372
angles: 120.00 90.00 90.00
With the nearest neighbours (Å) after each atom.
Positions (direct):
Tb 0.0000 0.4739 0.4739  2 Pr 3.19, 2 Nd 3.42
Tb 0.0000 0.5261 0.0000  2 Pr 3.19, 2 Nd 3.42
Tb 0.0000 0.0000 0.5261  2 Pr 3.19, 2 Nd 3.42
Pr 0.5000 0.6405 0.6405  4 Nd 3.16-3.18, 2 Tb 3.19
Pr 0.5000 0.0000 0.3595  4 Nd 3.16-3.18, 2 Tb 3.19
Pr 0.5000 0.3595 0.0000  4 Nd 3.16-3.18, 2 Tb 3.19
Nd 0.5000 0.3333 0.6667  3 Pr 3.16
Nd 0.5000 0.6667 0.3333  3 Pr 3.16
Nd 0.5000 0.2658 0.2658  2 Pr 3.18, 2 Tb 3.42
Nd 0.5000 0.0000 0.7342  2 Pr 3.18, 2 Tb 3.42
Nd 0.5000 0.7342 0.0000  2 Pr 3.18, 2 Tb 3.42

Properties
ΔE to the lowest computed polymorph	13	meV/atom
formation energy	17.126	kcal/mol of atoms
symmetry	No. 189
size of the total moment	0.00	μB/cell